No. 1
ScMnCu2 | GGA-PBE | optimized geometry

Cell: 2.9087 2.9087 25.6529 Å, 90.00 90.00 120.00°
Space group R-3m (No. 166, hexagonal axes)
One atom of each set of equivalent atoms:
1 Sc 0.0000 0.0000 0.0000
2 Mn 0.0000 0.0000 0.5000
3 Cu 0.0000 0.0000 0.2445

=====

No. 2
Ac3TePb2 | GGA-PBE | optimized geometry

Cell: 4.772 6.823 14.696 Å, 90.00 90.00 90.00°
Space group Immm (No. 71)
One atom of each set of equivalent atoms:
1 Ac 0.000 0.000 0.000
2 Ac 0.000 0.000 0.333
3 Te 0.000 0.500 0.000
4 Pb 0.000 0.500 0.336

Properties
Formation energy from raw total energies, eV/atom: -0.855

=====

In the order shown, the computed VASP energy values come out to -22.70; -28.01 eV per formula unit.